Material: Ru3Se
Method: DFT, PBE-GGA
State: relaxed Values from VASP.

Output
* ΔE_f (raw): 561.6 meV/atom
* SG: Fm-3m
* magnetization: 0.49 μB/atom

```
&SYSTEM
  ibrav = 0, nat = 4, ntyp = 2
/
ATOMIC_SPECIES
Ru 101.07 Ru.upf
Se 78.96 Se.upf
CELL_PARAMETERS angstrom
0.0000 3.0939 3.0939
3.0939 0.0000 3.0939
3.0939 3.0939 0.0000
ATOMIC_POSITIONS angstrom
Ru 0.0000 0.0000 0.0000
Ru 1.5470 1.5470 1.5470
Ru 4.6409 4.6409 4.6409
Se 3.0939 3.0939 3.0939
```

Material: SrZrAs2
Method: DFT, PBE-GGA
State: relaxed Values from VASP.

Output
* SG: P4mm
* formation energy from the elements: -3.62 eV/f.u.
* magnetization: 0.00 μB/atom

```
&SYSTEM
  ibrav = 0, nat = 4, ntyp = 3
/
ATOMIC_SPECIES
Sr 87.62 Sr.upf
Zr 91.22 Zr.upf
As 74.92 As.upf
CELL_PARAMETERS angstrom
4.1242 0.0000 0.0000
0.0000 4.1242 0.0000
0.0000 0.0000 5.9302
ATOMIC_POSITIONS angstrom
Sr 0.0000 0.0000 0.0000
Zr 2.0621 2.0621 3.0872
As 0.0000 0.0000 2.9515
As 2.0621 2.0621 5.6923
```